# Rb12SO3F4 (PBE-GGA, optimized geometry)
data_Rb12SO3F4
_chemical_formula_sum 'Rb12 S1 O3 F4'
_cell_length_a 9.051
_cell_length_b 9.051
_cell_length_c 9.051
_cell_angle_alpha 109.47
_cell_angle_beta 109.47
_cell_angle_gamma 109.47
_symmetry_space_group_name_H-M 'P 1'
_symmetry_Int_Tables_number 1
loop_
_symmetry_equiv_pos_as_xyz
'x,y,z'
loop_
_atom_site_label
_atom_site_type_symbol
_atom_site_fract_x
_atom_site_fract_y
_atom_site_fract_z
Rb1 Rb 0.825 0.514 0.689
F1 F 0.500 0.000 0.000
Rb2 Rb 0.311 0.175 0.486
S1 S 0.000 0.000 0.000
Rb3 Rb 0.175 0.864 0.689
O1 O 0.000 0.500 0.500
Rb4 Rb 0.864 0.689 0.175
Rb5 Rb 0.689 0.825 0.514
O2 O 0.500 0.000 0.500
Rb6 Rb 0.689 0.175 0.864
F2 F 0.000 0.500 0.000
F3 F 0.000 0.000 0.500
Rb7 Rb 0.311 0.825 0.136
Rb8 Rb 0.175 0.486 0.311
Rb9 Rb 0.514 0.689 0.825
Rb10 Rb 0.825 0.136 0.311
Rb11 Rb 0.136 0.311 0.825
O3 O 0.500 0.500 0.000
Rb12 Rb 0.486 0.311 0.175
F4 F 0.500 0.500 0.500
# raw formation energy	-1.591	eV/atom



# Ac2GaAu3 (PBE-GGA, optimized geometry)
data_Ac2GaAu3
_chemical_formula_sum 'Ac2 Ga1 Au3'
_cell_length_a 4.000
_cell_length_b 4.758
_cell_length_c 8.300
_cell_angle_alpha 90.00
_cell_angle_beta 90.00
_cell_angle_gamma 90.00
_symmetry_space_group_name_H-M 'P 1'
_symmetry_Int_Tables_number 1
loop_
_symmetry_equiv_pos_as_xyz
'x,y,z'
loop_
_atom_site_label
_atom_site_type_symbol
_atom_site_fract_x
_atom_site_fract_y
_atom_site_fract_z
Au1 Au 0.500 0.000 0.841
Ac1 Ac 0.000 0.500 0.992
Ac2 Ac 0.000 0.000 0.508
Au2 Au 0.500 0.000 0.185
Au3 Au 0.500 0.500 0.648
Ga1 Ga 0.500 0.500 0.325
# formation energy from the elements	-0.810	eV per atom
# DOS at the Fermi energy	0.5233	states/eV/atom
# excess energy over the best structure of this formula in the dataset	0	meV per atom



# ScAg2Br (PBE-GGA, optimized geometry)
data_ScAg2Br
_chemical_formula_sum 'Sc1 Ag2 Br1'
_cell_length_a 4.982
_cell_length_b 4.982
_cell_length_c 4.982
_cell_angle_alpha 60.00
_cell_angle_beta 60.00
_cell_angle_gamma 60.00
_symmetry_space_group_name_H-M 'P 1'
_symmetry_Int_Tables_number 1
loop_
_symmetry_equiv_pos_as_xyz
'x,y,z'
loop_
_atom_site_label
_atom_site_type_symbol
_atom_site_fract_x
_atom_site_fract_y
_atom_site_fract_z
Ag1 Ag 0.750 0.750 0.750
Sc1 Sc 0.000 0.000 0.000
Br1 Br 0.500 0.500 0.500
Ag2 Ag 0.250 0.250 0.250
# DOS at the Fermi energy	1.0761	states/eV/atom
# excess energy over the best structure of this formula in the dataset	520	meV per atom
# raw formation energy	0.135	eV/atom